# 1
DyAgPbF6: relaxed, PBE.

**Uncorrected formation energy**: -25.40 eV/f.u.

a = 5.4761 Å, b = 5.4761 Å, c = 11.3499 Å
α = 90.00°, β = 90.00°, γ = 90.00°
Last column: nearest neighbours and their distance in Å.
Positions (direct):
Dy  0.0000  0.0000  0.0000  6 F 2.20-2.21
Dy  0.5000  0.5000  0.5000  6 F 2.20-2.21
Ag  0.0000  0.0000  0.6649  6 F 2.44-2.59
Ag  0.5000  0.5000  0.1649  6 F 2.44-2.59
Pb  0.0000  0.0000  0.3342  6 F 2.43-2.58
Pb  0.5000  0.5000  0.8342  6 F 2.43-2.58
F  0.1866  0.1866  0.1461  1 Dy 2.20, 1 Ag 2.44
F  0.1870  0.1870  0.8540  1 Dy 2.20, 1 Pb 2.43
F  0.2155  0.2155  0.4908  1 Dy 2.21, 1 Pb 2.44
F  0.2845  0.7155  0.9908  1 Dy 2.21, 1 Pb 2.44
F  0.3130  0.6870  0.3540  1 Dy 2.20, 1 Pb 2.43
F  0.3134  0.6866  0.6461  1 Dy 2.20, 1 Ag 2.44
F  0.6870  0.3130  0.3540  1 Dy 2.20, 1 Pb 2.43
F  0.6866  0.3134  0.6461  1 Dy 2.20, 1 Ag 2.44
F  0.7155  0.2845  0.9908  1 Dy 2.21, 1 Pb 2.44
F  0.7845  0.7845  0.4908  1 Dy 2.21, 1 Pb 2.44
F  0.8134  0.8134  0.1461  1 Dy 2.20, 1 Ag 2.44
F  0.8130  0.8130  0.8540  1 Dy 2.20, 1 Pb 2.43



# 2
RbDy2AgF8: relaxed, PBE.

**Uncorrected formation energy**: -40.50 eV/f.u.

a = 6.4298 Å, b = 3.8997 Å, c = 7.6779 Å
α = 90.00°, β = 94.09°, γ = 90.00°
Last column: nearest neighbours and their distance in Å.
Positions (direct):
Rb  0.0000  0.0000  0.0000  8 F 2.77-2.79
Dy  0.4798  0.5000  0.7460  8 F 2.25-2.40
Dy  0.5202  0.5000  0.2540  8 F 2.25-2.40
Ag  0.0000  0.0000  0.5000  2 F 2.33
F  0.2617  0.0000  0.7270  1 Ag 2.33, 2 Dy 2.40, 1 F 2.53
F  0.2974  0.5000  0.4815  2 Dy 2.27-2.34
F  0.3049  0.5000  0.9921  2 Dy 2.27-2.36, 1 F 2.50
F  0.3443  0.0000  0.2432  2 Dy 2.25
F  0.6557  0.0000  0.7568  2 Dy 2.25
F  0.6951  0.5000  0.0079  2 Dy 2.27-2.36, 1 F 2.50
F  0.7026  0.5000  0.5185  2 Dy 2.27-2.34
F  0.7383  0.0000  0.2730  1 Ag 2.33, 2 Dy 2.40, 1 F 2.53



# 3
Rb2DyAgF6: relaxed, PBE.

**Uncorrected formation energy**: -29.69 eV/f.u.

a = 6.5236 Å, b = 6.5995 Å, c = 11.1418 Å
α = 90.00°, β = 125.67°, γ = 90.00°
Last column: nearest neighbours and their distance in Å.
Positions (direct):
Rb  0.2434  0.0353  0.2497  8 F 2.86-3.19
Rb  0.2434  0.4647  0.7497  8 F 2.86-3.19
Rb  0.7566  0.5353  0.2503  8 F 2.86-3.19
Rb  0.7566  0.9647  0.7503  8 F 2.86-3.19
Dy  0.5000  0.0000  0.0000  6 F 2.19
Dy  0.5000  0.5000  0.5000  6 F 2.19
Ag  0.0000  0.0000  0.5000  6 F 2.44-2.56
Ag  0.0000  0.5000  0.0000  6 F 2.44-2.56
F  0.1967  0.1922  0.9658  1 Dy 2.19
F  0.1967  0.3078  0.4658  1 Dy 2.19
F  0.2718  0.7315  0.9609  1 Dy 2.19
F  0.2718  0.7685  0.4609  1 Dy 2.19
F  0.3339  0.0228  0.7636  1 Dy 2.19, 1 Ag 2.44
F  0.3339  0.4772  0.2636  1 Dy 2.19, 1 Ag 2.44
F  0.6661  0.5228  0.7364  1 Dy 2.19, 1 Ag 2.44
F  0.6661  0.9772  0.2364  1 Dy 2.19, 1 Ag 2.44
F  0.7282  0.2315  0.5391  1 Dy 2.19
F  0.7282  0.2685  0.0391  1 Dy 2.19
F  0.8033  0.6922  0.5342  1 Dy 2.19
F  0.8033  0.8078  0.0342  1 Dy 2.19



# 4
Rb3DyAg2F9: relaxed, PBE.

**Uncorrected formation energy**: -38.86 eV/f.u.

a = 6.4056 Å, b = 6.4056 Å, c = 7.9982 Å
α = 90.00°, β = 90.00°, γ = 120.00°
Last column: nearest neighbours and their distance in Å.
Positions (direct):
Rb  0.0000  0.0000  0.0000  12 F 3.20-3.24
Rb  0.3333  0.6667  0.7094  9 F 2.97-3.23
Rb  0.6667  0.3333  0.2906  9 F 2.97-3.23
Dy  0.0000  0.0000  0.5000  6 F 2.18
Ag  0.3333  0.6667  0.1669  6 F 2.28-2.38
Ag  0.6667  0.3333  0.8331  6 F 2.28-2.38
F  0.0000  0.5000  0.0000  2 Ag 2.28
F  0.1586  0.3171  0.3395  1 Dy 2.18, 1 Ag 2.38
F  0.1586  0.8414  0.3395  1 Dy 2.18, 1 Ag 2.38
F  0.3171  0.1586  0.6605  1 Dy 2.18, 1 Ag 2.38
F  0.5000  0.0000  0.0000  2 Ag 2.28
F  0.5000  0.5000  0.0000  2 Ag 2.28
F  0.6829  0.8414  0.3395  1 Dy 2.18, 1 Ag 2.38
F  0.8414  0.1586  0.6605  1 Dy 2.18, 1 Ag 2.38
F  0.8414  0.6829  0.6605  1 Dy 2.18, 1 Ag 2.38



# 5
RbDyAgF5: relaxed, PBE.

**Uncorrected formation energy**: -23.98 eV/f.u.

a = 6.6681 Å, b = 6.6681 Å, c = 8.4088 Å
α = 99.06°, β = 99.06°, γ = 113.55°
Last column: nearest neighbours and their distance in Å.
Positions (direct):
Rb  0.1638  0.8362  0.7500  7 F 2.91-3.21
Rb  0.8362  0.1638  0.2500  7 F 2.91-3.21
Dy  0.5000  0.5000  0.0000  6 F 2.18-2.21
Dy  0.5000  0.5000  0.5000  6 F 2.18-2.21
Ag  0.1741  0.8259  0.2500  4 F 2.34-2.35
Ag  0.8259  0.1741  0.7500  4 F 2.34-2.35
F  0.1521  0.2445  0.9447  1 Dy 2.18, 1 Ag 2.34
F  0.2272  0.5890  0.4156  1 Dy 2.18, 1 Ag 2.35
F  0.2445  0.1521  0.4447  1 Dy 2.18, 1 Ag 2.34
F  0.4110  0.7728  0.0844  1 Dy 2.18, 1 Ag 2.35
F  0.4380  0.5620  0.7500  2 Dy 2.21
F  0.5620  0.4380  0.2500  2 Dy 2.21
F  0.5890  0.2272  0.9156  1 Dy 2.18, 1 Ag 2.35
F  0.7555  0.8479  0.5553  1 Dy 2.18, 1 Ag 2.34
F  0.7728  0.4110  0.5844  1 Dy 2.18, 1 Ag 2.35
F  0.8479  0.7555  0.0553  1 Dy 2.18, 1 Ag 2.34



# 6
DyAgRhF6: relaxed, PBE.

**Uncorrected formation energy**: -20.84 eV/f.u.

a = 5.7402 Å, b = 5.7402 Å, c = 10.4532 Å
α = 90.00°, β = 90.00°, γ = 120.00°
Last column: nearest neighbours and their distance in Å.
Positions (direct):
Dy  0.3333  0.6667  0.2500  6 F 2.21
Dy  0.6667  0.3333  0.7500  6 F 2.21
Ag  0.0000  0.0000  0.0000  6 F 2.49
Ag  0.0000  0.0000  0.5000  6 F 2.49
Rh  0.3333  0.6667  0.7500  6 F 2.18
Rh  0.6667  0.3333  0.2500  6 F 2.18
F  0.0043  0.3561  0.6382  1 Rh 2.18, 1 Dy 2.21
F  0.0043  0.6482  0.8618  1 Rh 2.18, 1 Dy 2.21
F  0.3518  0.3561  0.8618  1 Rh 2.18, 1 Dy 2.21
F  0.3518  0.9957  0.6382  1 Rh 2.18, 1 Dy 2.21
F  0.3561  0.0043  0.1382  1 Rh 2.18, 1 Dy 2.21
F  0.3561  0.3518  0.3618  1 Rh 2.18, 1 Dy 2.21
F  0.6439  0.6482  0.6382  1 Rh 2.18, 1 Dy 2.21
F  0.6439  0.9957  0.8618  1 Rh 2.18, 1 Dy 2.21
F  0.6482  0.0043  0.3618  1 Rh 2.18, 1 Dy 2.21
F  0.6482  0.6439  0.1382  1 Rh 2.18, 1 Dy 2.21
F  0.9957  0.3518  0.1382  1 Rh 2.18, 1 Dy 2.21
F  0.9957  0.6439  0.3618  1 Rh 2.18, 1 Dy 2.21



# 7
Dy3FeAg: relaxed, PBE.

**Formation enthalpy at 0 K**: -0.1168 eV per atom

a = 8.2440 Å, b = 8.2440 Å, c = 8.3582 Å
α = 90.48°, β = 90.48°, γ = 25.65°
Last column: nearest neighbours and their distance in Å.
Positions (direct):
Dy  0.0619  0.0619  0.2909  4 Ag 3.01-3.30, 1 Fe 3.21
Dy  0.2408  0.2408  0.6962  3 Fe 2.85-3.02, 2 Ag 3.18
Dy  0.4017  0.4017  0.0601  3 Fe 2.82-2.96, 1 Ag 3.08
Dy  0.5983  0.5983  0.9399  3 Fe 2.82-2.96, 1 Ag 3.08
Dy  0.7592  0.7592  0.3038  3 Fe 2.85-3.02, 2 Ag 3.18
Dy  0.9381  0.9381  0.7091  4 Ag 3.01-3.30, 1 Fe 3.21
Fe  0.2178  0.2178  0.0545  2 Fe 2.29
Fe  0.7822  0.7822  0.9455  2 Fe 2.29
Ag  0.4077  0.4077  0.4289  7 Dy 3.01-3.30, 1 Ag 3.19
Ag  0.5923  0.5923  0.5711  7 Dy 3.01-3.30, 1 Ag 3.19



# 8
Dy8FeAg2: relaxed, PBE.

**Formation enthalpy at 0 K**: -0.0749 eV per atom

a = 8.9809 Å, b = 8.9809 Å, c = 6.7951 Å
α = 107.06°, β = 107.06°, γ = 33.87°
Last column: nearest neighbours and their distance in Å.
Positions (direct):
Dy  0.0259  0.0259  0.2936  1 Ag 2.93, 2 Fe 3.06, 1 Dy 3.19
Dy  0.1994  0.1994  0.8011  1 Ag 2.89
Dy  0.3443  0.3443  0.5355  1 Fe 2.76, 1 Ag 2.94
Dy  0.4106  0.4106  0.0750  1 Fe 2.82
Dy  0.5894  0.5894  0.9250  1 Fe 2.82
Dy  0.6557  0.6557  0.4645  1 Fe 2.76, 1 Ag 2.94
Dy  0.8006  0.8006  0.1989  1 Ag 2.89
Dy  0.9741  0.9741  0.7064  1 Ag 2.93, 2 Fe 3.06, 1 Dy 3.19
Fe  0.5000  0.5000  0.5000  8 Dy 2.76-3.06
Ag  0.1842  0.1842  0.2132  3 Dy 2.89-2.94
Ag  0.8158  0.8158  0.7868  3 Dy 2.89-2.94



Number 1: theoretical density 5772 kg/m3. Number 2: theoretical density 5797 kg/m3. Number 3: theoretical density 4732 kg/m3. Number 4: theoretical density 4707 kg/m3. Number 5: theoretical density 4561 kg/m3. Number 6: theoretical density 5425 kg/m3. Number 7: theoretical density 8797 kg/m3. Number 8: theoretical density 8977 kg/m3.